1.
## KS4I (PBE)

Data for an optimized crystal structure of KS4I.

a = 10.4208 Å, b = 6.0637 Å, c = 8.3836 Å
α = 90.00°, β = 123.96°, γ = 90.00°
With the nearest neighbours (Å) after each atom.
Space group Cm (No. 8)
One atom of each set of equivalent atoms:
K  0.0000  0.0000  0.0000  3 I 3.52, 4 S 3.58-3.87
S  0.0393  0.2482  0.4122  2 S 2.08-2.10
S  0.0963  0.0000  0.6157  2 S 2.10
S  0.1972  0.5000  0.4787  2 S 2.08
I  0.1346  0.5000  0.9307  3 K 3.52, 2 S 3.89

The calculation puts the energy at -42.25 eV per cell. As for the uncorrected formation energy: -1.97 eV/f.u.

---

2.
## KSI3 (PBE)

Data for an optimized crystal structure of KSI3.

a = 5.7063 Å, b = 5.7063 Å, c = 5.7063 Å
α = 90.00°, β = 90.00°, γ = 90.00°
With the nearest neighbours (Å) after each atom.
Space group Pm-3m (No. 221)
One atom of each set of equivalent atoms:
K  0.0000  0.0000  0.0000  12 I 4.03
S  0.5000  0.5000  0.5000  6 I 2.85
I  0.0000  0.5000  0.5000  2 S 2.85

The calculation puts the energy at -12.04 eV per cell. As for the uncorrected formation energy: -2.17 eV/f.u.

---

3.
## K12S3I5 (PBE)

Data for an optimized crystal structure of K12S3I5.

a = 19.6378 Å, b = 19.6378 Å, c = 19.6378 Å
α = 90.00°, β = 90.00°, γ = 90.00°
With the nearest neighbours (Å) after each atom.
Space group Ia-3d (No. 230)
One atom of each set of equivalent atoms:
K  0.0171  0.0896  0.6529  1 S 3.21, 2 I 3.35-3.50, 1 K 3.46
S  0.0000  0.2500  0.1250  4 K 3.21
I  0.0000  0.0000  0.0000  6 K 3.50
I  0.0000  0.2500  0.3750  4 K 3.35

The calculation puts the energy at -434.74 eV per cell. As for the uncorrected formation energy: -21.04 eV/f.u.

---

4.
## K12S3I5 (PBE)

Data for an optimized crystal structure of K12S3I5.

a = 14.5782 Å, b = 14.5782 Å, c = 4.9016 Å
α = 90.00°, β = 90.00°, γ = 120.00°
With the nearest neighbours (Å) after each atom.
Space group P-62m (No. 189)
One atom of each set of equivalent atoms:
K  0.0000  0.5449  0.0000  2 S 3.05
K  0.0000  0.8108  0.0000  2 S 3.20
K  0.2029  0.4423  0.5000  1 S 3.02
S  0.0000  0.6692  0.5000  6 K 3.02-3.20
I  0.0000  0.3031  0.0000  7 K 3.53-3.87
I  0.3333  0.6667  0.0000  6 K 3.76

The calculation puts the energy at -56.91 eV per cell. As for the uncorrected formation energy: -23.60 eV/f.u.